## one
# K2MoBr6

A relaxed K2MoBr6 crystal (GGA-PBE, Alexandria).

The value obtained for the volume is 39.25 Å³ per atom. The calculation puts the density of states at the Fermi level at 8.320 states/eV/f.u.

CIF file:
```
data_K2MoBr6
_chemical_formula_sum 'K4 Mo2 Br12'
_cell_length_a 7.139
_cell_length_b 7.139
_cell_length_c 13.862
_cell_angle_alpha 90.00
_cell_angle_beta 90.00
_cell_angle_gamma 90.00
_space_group_name_H-M_alt 'P 42/m n m'
_space_group_IT_number 136
_space_group_name_Hall '-P 4n 2n'
loop_
_atom_site_label
_atom_site_fract_x
_atom_site_fract_y
_atom_site_fract_z
_atom_site_occupancy
K1 0.000 0.000 0.168 1
Mo1 0.000 0.000 0.500 1
Br1 0.178 0.178 0.368 1
Br2 0.248 0.248 0.000 1
```

## two
# K2MoBr6

A relaxed K2MoBr6 crystal (GGA-PBE, Alexandria).

The value obtained for the volume is 33.86 Å³ per atom. The calculation puts the density of states at the Fermi level at 8.091 states/eV/f.u.

CIF file:
```
data_K2MoBr6
_chemical_formula_sum 'K4 Mo2 Br12'
_cell_length_a 7.477
_cell_length_b 7.761
_cell_length_c 12.849
_cell_angle_alpha 90.00
_cell_angle_beta 125.17
_cell_angle_gamma 90.00
_space_group_name_H-M_alt 'P 1 21/c 1'
_space_group_IT_number 14
_space_group_name_Hall '-P 2ybc'
loop_
_atom_site_label
_atom_site_fract_x
_atom_site_fract_y
_atom_site_fract_z
_atom_site_occupancy
K1 0.231 0.064 0.250 1
Mo1 0.500 0.000 0.000 1
Br1 0.188 0.190 0.966 1
Br2 0.280 0.728 0.970 1
Br3 0.325 0.005 0.761 1
```

Quick one: most stable of them? two

## one
# KRb2MoBr6

A relaxed KRb2MoBr6 crystal (GGA-PBE, Alexandria).

The value obtained for the volume is 40.28 Å³ per atom.

CIF file:
```
data_KRb2MoBr6
_chemical_formula_sum 'K6 Rb12 Mo6 Br36'
_cell_length_a 7.7231
_cell_length_b 7.7231
_cell_length_c 46.7841
_cell_angle_alpha 90.00
_cell_angle_beta 90.00
_cell_angle_gamma 120.00
_space_group_name_H-M_alt 'R -3 m'
_space_group_IT_number 166
_space_group_name_Hall '-R 3 2"'
loop_
_atom_site_label
_atom_site_fract_x
_atom_site_fract_y
_atom_site_fract_z
_atom_site_occupancy
K1 0.0000 0.0000 0.0851 1
Rb1 0.0000 0.0000 0.1905 1
Rb2 0.0000 0.0000 0.3581 1
Mo1 0.0000 0.0000 0.0000 1
Mo2 0.0000 0.0000 0.5000 1
Br1 0.0129 0.5065 0.6340 1
Br2 0.0160 0.5080 0.1995 1
```

## two
# KRb2MoBr6

A relaxed KRb2MoBr6 crystal (GGA-PBE, Alexandria).

The value obtained for the volume is 37.68 Å³ per atom. The calculation puts the density of states at the Fermi level at 0.000 states/eV/f.u.

CIF file:
```
data_KRb2MoBr6
_chemical_formula_sum 'K4 Rb8 Mo4 Br24'
_cell_length_a 11.465
_cell_length_b 11.465
_cell_length_c 11.465
_cell_angle_alpha 90.00
_cell_angle_beta 90.00
_cell_angle_gamma 90.00
_space_group_name_H-M_alt 'F m -3 m'
_space_group_IT_number 225
_space_group_name_Hall '-F 4 2 3'
loop_
_atom_site_label
_atom_site_fract_x
_atom_site_fract_y
_atom_site_fract_z
_atom_site_occupancy
K1 0.000 0.000 0.000 1
Rb1 0.250 0.250 0.250 1
Mo1 0.000 0.000 0.500 1
Br1 0.000 0.000 0.273 1
```

Quick one: most stable of them? one

## one
# KMoSeBr2

A relaxed KMoSeBr2 crystal (GGA-PBE, Alexandria).

The value obtained for the volume is 29.90 Å³ per atom. The calculation puts the density of states at the Fermi level at 2.119 states/eV/f.u.

CIF file:
```
data_KMoSeBr2
_chemical_formula_sum 'K1 Mo1 Se1 Br2'
_cell_length_a 5.517
_cell_length_b 5.517
_cell_length_c 4.911
_cell_angle_alpha 90.00
_cell_angle_beta 90.00
_cell_angle_gamma 90.00
_space_group_name_H-M_alt 'P 4/m m m'
_space_group_IT_number 123
_space_group_name_Hall '-P 4 2'
loop_
_atom_site_label
_atom_site_fract_x
_atom_site_fract_y
_atom_site_fract_z
_atom_site_occupancy
K1 0.000 0.000 0.000 1
Mo1 0.500 0.500 0.500 1
Se1 0.500 0.500 0.000 1
Br1 0.000 0.500 0.500 1
```

## two
# KMoSeBr2

A relaxed KMoSeBr2 crystal (GGA-PBE, Alexandria).

The value obtained for the volume is 39.66 Å³ per atom. The calculation puts the density of states at the Fermi level at 5.158 states/eV/f.u.

CIF file:
```
data_KMoSeBr2
_chemical_formula_sum 'K1 Mo1 Se1 Br2'
_cell_length_a 5.825
_cell_length_b 5.825
_cell_length_c 5.844
_cell_angle_alpha 90.00
_cell_angle_beta 90.00
_cell_angle_gamma 90.00
_space_group_name_H-M_alt 'P 4/m m m'
_space_group_IT_number 123
_space_group_name_Hall '-P 4 2'
loop_
_atom_site_label
_atom_site_fract_x
_atom_site_fract_y
_atom_site_fract_z
_atom_site_occupancy
K1 0.000 0.000 0.000 1
Mo1 0.500 0.500 0.500 1
Se1 0.000 0.000 0.500 1
Br1 0.000 0.500 0.000 1
```

Quick one: most stable of them? one